# RbPaTeO6

Crystalline RbPaTeO6 at its relaxed geometry (PBE-GGA, the Alexandria database).

Cell lengths 5.694, 5.694, 12.429 Å; angles 90.00, 90.00, 120.00 degrees
Element x y z (fractional)
O (0.032, 0.401, 0.661)
O (0.368, 0.968, 0.661)
O (0.968, 0.368, 0.161)
O (0.632, 0.599, 0.161)
O (0.401, 0.032, 0.161)
O (0.632, 0.032, 0.339)
O (0.968, 0.599, 0.339)
O (0.401, 0.368, 0.339)
O (0.032, 0.632, 0.839)
O (0.368, 0.401, 0.839)
O (0.599, 0.632, 0.661)
O (0.599, 0.968, 0.839)
Rb (0.000, 0.000, 0.000)
Rb (0.000, 0.000, 0.500)
Te (0.333, 0.667, 0.750)
Te (0.667, 0.333, 0.250)
Pa (0.333, 0.667, 0.250)
Pa (0.667, 0.333, 0.750)

Values from the calculation:
Size of the total moment (μB per cell): 0.00
Calculated total energy (eV/atom): -6.94
Space group: P-31c, No. 163